# 1
A relaxed structure of MgSiGeOs, computed with PBE-GGA.

Unit cell a=4.436 b=4.436 c=4.436 alpha=60.00 beta=60.00 gamma=60.00
Fractional positions:
Mg  0.750  0.750  0.750
Ge  0.500  0.500  0.500
Os  0.000  0.000  0.000
Si  0.250  0.250  0.250

Output
Raw total energy in eV per atom: -5.35


# 2
A relaxed structure of MgSnGeOs, computed with PBE-GGA.

Unit cell a=4.617 b=4.617 c=4.617 alpha=60.00 beta=60.00 gamma=60.00
Fractional positions:
Os  0.250  0.250  0.250
Sn  0.500  0.500  0.500
Ge  0.000  0.000  0.000
Mg  0.750  0.750  0.750

Output
Raw total energy in eV per atom: -5.14


# 3
A relaxed structure of MgGePd2, computed with PBE-GGA.

Unit cell a=4.507 b=4.507 c=4.507 alpha=60.00 beta=60.00 gamma=60.00
Fractional positions:
Pd  0.000  0.000  0.000
Pd  0.750  0.750  0.750
Mg  0.250  0.250  0.250
Ge  0.500  0.500  0.500

Output
Raw total energy in eV per atom: -4.52


# 4
A relaxed structure of Mg2GePd, computed with PBE-GGA.

Unit cell a=4.599 b=4.599 c=4.599 alpha=60.00 beta=60.00 gamma=60.00
Fractional positions:
Ge  0.500  0.500  0.500
Mg  0.000  0.000  0.000
Mg  0.750  0.750  0.750
Pd  0.250  0.250  0.250

Output
Raw total energy in eV per atom: -3.53


# 5
A relaxed structure of Pr3Mg2Ge4Pd2, computed with PBE-GGA.

Unit cell a=13.727 b=13.727 c=13.727 alpha=162.36 beta=161.66 gamma=25.56
Fractional positions:
Ge  0.547  0.547  0.000
Ge  0.185  0.685  0.500
Ge  0.453  0.453  0.000
Ge  0.815  0.315  0.500
Pr  0.000  0.000  0.000
Pr  0.361  0.861  0.500
Pr  0.639  0.139  0.500
Pd  0.908  0.408  0.500
Pd  0.092  0.592  0.500
Mg  0.750  0.750  0.000
Mg  0.250  0.250  0.000

Output
Raw total energy in eV per atom: -4.97


# 6
A relaxed structure of SrMgGePd, computed with PBE-GGA.

Unit cell a=4.934 b=4.934 c=4.934 alpha=60.00 beta=60.00 gamma=60.00
Fractional positions:
Pd  0.250  0.250  0.250
Ge  0.500  0.500  0.500
Sr  0.000  0.000  0.000
Mg  0.750  0.750  0.750

Output
Raw total energy in eV per atom: -3.53